ReAg2Os | PBE | optimized geometry

The structure in CIF format:
```
data_ReAg2Os
_space_group_name_H-M_alt 'P 1'
_space_group_IT_number 1
_space_group_name_Hall 'P 1'
_cell_length_a 4.912
_cell_length_b 4.912
_cell_length_c 2.677
_cell_angle_alpha 90.00
_cell_angle_beta 90.00
_cell_angle_gamma 90.00
loop_
_atom_site_label
_atom_site_type_symbol
_atom_site_fract_x
_atom_site_fract_y
_atom_site_fract_z
Re1 Re 0.000 0.500 0.500
Os1 Os 0.500 0.000 0.500
Ag1 Ag 0.000 0.000 0.000
Ag2 Ag 0.500 0.500 0.000
```

Output
M_tot	0.0	μB/cell
E_form	1.18	eV/atom
D(E_F)	3.87	states/eV per cell
excess energy over the best structure of this formula in the dataset	3.621	eV per formula unit